(1)
{"formula": "SnPd2Au", "functional": "GGA-PBE", "state": "optimized geometry", "dos_ef_per_ev_atom": 0.49, "magnetic_moment_mub_per_fu": 0.0, "space_group": "No. 63", "delta_e_f_ev_per_atom": -0.188, "lattice_angstrom": [[-0.0902, 2.3200, -2.3482], [2.5457, -7.3056, -4.9937], [-9.4518, -2.1140, -1.7256]], "species": ["Pd", "Sn", "Pd", "Sn", "Au", "Pd", "Pd", "Pd", "Sn", "Pd", "Pd", "Au", "Au", "Au", "Sn", "Pd"], "frac_coords": [[0.9600, 0.9200, 0.7500], [0.8716, 0.7432, 0.9775], [0.8863, 0.7726, 0.2500], [0.1284, 0.2568, 0.0225], [0.5000, 0.0000, 0.5000], [0.1137, 0.2274, 0.7500], [0.7217, 0.4435, 0.6090], [0.2783, 0.5565, 0.1090], [0.1284, 0.2568, 0.4775], [0.2783, 0.5565, 0.3910], [0.0400, 0.0800, 0.2500], [0.6743, 0.3486, 0.2500], [0.5000, 0.0000, 0.0000], [0.3257, 0.6514, 0.7500], [0.8716, 0.7432, 0.5225], [0.7217, 0.4435, 0.8910]]}

(2)
{"formula": "FeCuP2", "functional": "GGA-PBE", "state": "optimized geometry", "dos_ef_per_ev_atom": 0.88, "magnetic_moment_mub_per_fu": 0.0, "space_group": "No. 99", "delta_e_f_ev_per_atom": 0.158, "lattice_angstrom": [[-0.4806, -0.0722, -2.6782], [1.5132, -2.2527, -0.2108], [-5.8078, -4.0090, 1.1504]], "species": ["Cu", "Fe", "P", "P"], "frac_coords": [[0.0000, 0.0000, 0.5131], [0.5000, 0.5000, 0.7668], [0.5000, 0.5000, 0.2930], [0.0000, 0.0000, 0.9271]]}

(3)
{"formula": "CePrHgRu", "functional": "GGA-PBE", "state": "optimized geometry", "dos_ef_per_ev_atom": 1.81, "magnetic_moment_mub_per_fu": 0.5, "space_group": "No. 216", "delta_e_f_ev_per_atom": -0.189, "lattice_angstrom": [[-1.1381, -4.9605, -0.9946], [3.3013, -3.7477, 1.3954], [-1.2151, -3.2110, 3.8864]], "species": ["Hg", "Ce", "Pr", "Ru"], "frac_coords": [[0.2500, 0.2500, 0.2500], [0.0000, 0.0000, 0.0000], [0.5000, 0.5000, 0.5000], [0.7500, 0.7500, 0.7500]]}